Record 1
# Pr7Nd4Sm

An optimized crystal structure of Pr7Nd4Sm (GGA-PBE, the Alexandria database).

D(E_F) = 1.661 states/eV per atom
calculated formation energy = 0.011 eV per atom
ΔE to the lowest computed polymorph = 0 meV per atom
total magnetization = 0.00 μB/atom

a b c (Å): 7.4005 9.7891 9.7656
angles (deg): 69.16 79.11 40.84
Closest atoms and distances in Å follow each position.
Fractional positions:
Pr (0.7491, 0.5001, 0.0002)  3 Nd 3.68-3.71, 7 Pr 3.69-3.71, 2 Sm 3.69-3.70
Pr (0.2509, 0.4999, 0.9998)  3 Nd 3.68-3.71, 7 Pr 3.69-3.71, 2 Sm 3.69-3.70
Pr (0.9999, 0.3332, 0.6668)  6 Nd 3.69-3.71, 5 Pr 3.69-3.70, 1 Sm 3.70
Pr (0.0001, 0.6668, 0.3332)  6 Nd 3.69-3.71, 5 Pr 3.69-3.70, 1 Sm 3.70
Pr (0.2494, 0.8338, 0.6667)  1 Sm 3.69, 6 Nd 3.69-3.70, 5 Pr 3.69-3.70
Pr (0.5000, 0.0000, 0.0000)  4 Nd 3.69-3.70, 6 Pr 3.70, 2 Sm 3.70
Pr (0.7506, 0.1662, 0.3333)  1 Sm 3.69, 6 Nd 3.69-3.70, 5 Pr 3.69-3.70
Nd (0.4996, 0.6667, 0.3327)  8 Pr 3.68-3.71, 1 Sm 3.69, 3 Nd 3.69-3.70
Nd (0.5004, 0.3333, 0.6673)  8 Pr 3.68-3.71, 1 Sm 3.69, 3 Nd 3.69-3.70
Nd (0.7504, 0.8334, 0.6664)  9 Pr 3.69-3.71, 3 Nd 3.69-3.70
Nd (0.2496, 0.1666, 0.3336)  9 Pr 3.69-3.71, 3 Nd 3.69-3.70
Sm (0.0000, 0.0000, 0.0000)  10 Pr 3.69-3.70, 2 Nd 3.69

Record 2
# Pr12NdSm6

An optimized crystal structure of Pr12NdSm6 (GGA-PBE, the Alexandria database).

D(E_F) = 1.567 states/eV per atom
calculated formation energy = 0.124 eV per atom
ΔE to the lowest computed polymorph = 0 meV per atom
total magnetization = 0.00 μB/atom

a b c (Å): 8.8068 8.8068 8.8068
angles (deg): 89.07 89.07 89.07
Closest atoms and distances in Å follow each position.
Fractional positions:
Pr (0.7808, 0.5356, 0.4335)  4 Pr 3.40-3.69, 3 Sm 3.44-3.55
Pr (0.4335, 0.7808, 0.5356)  4 Pr 3.40-3.69, 3 Sm 3.44-3.55
Pr (0.5356, 0.4335, 0.7808)  4 Pr 3.40-3.69, 3 Sm 3.44-3.55
Pr (0.2192, 0.4644, 0.5665)  4 Pr 3.40-3.69, 3 Sm 3.44-3.55
Pr (0.5665, 0.2192, 0.4644)  4 Pr 3.40-3.69, 3 Sm 3.44-3.55
Pr (0.4644, 0.5665, 0.2192)  4 Pr 3.40-3.69, 3 Sm 3.44-3.55
Pr (0.0177, 0.1941, 0.3618)  4 Pr 3.53-3.69, 4 Sm 3.60-3.77, 1 Nd 3.65
Pr (0.8059, 0.6382, 0.9823)  4 Pr 3.53-3.69, 4 Sm 3.60-3.77, 1 Nd 3.65
Pr (0.6382, 0.9823, 0.8059)  4 Pr 3.53-3.69, 4 Sm 3.60-3.77, 1 Nd 3.65
Pr (0.9823, 0.8059, 0.6382)  4 Pr 3.53-3.69, 4 Sm 3.60-3.77, 1 Nd 3.65
Pr (0.1941, 0.3618, 0.0177)  4 Pr 3.53-3.69, 4 Sm 3.60-3.77, 1 Nd 3.65
Pr (0.3618, 0.0177, 0.1941)  4 Pr 3.53-3.69, 4 Sm 3.60-3.77, 1 Nd 3.65
Nd (0.0000, 0.0000, 0.0000)  6 Sm 3.57, 6 Pr 3.65
Sm (0.7397, 0.9026, 0.3000)  7 Pr 3.44-3.77, 1 Nd 3.57, 2 Sm 3.61
Sm (0.7000, 0.2603, 0.0974)  7 Pr 3.44-3.77, 1 Nd 3.57, 2 Sm 3.61
Sm (0.0974, 0.7000, 0.2603)  7 Pr 3.44-3.77, 1 Nd 3.57, 2 Sm 3.61
Sm (0.2603, 0.0974, 0.7000)  7 Pr 3.44-3.77, 1 Nd 3.57, 2 Sm 3.61
Sm (0.3000, 0.7397, 0.9026)  7 Pr 3.44-3.77, 1 Nd 3.57, 2 Sm 3.61
Sm (0.9026, 0.3000, 0.7397)  7 Pr 3.44-3.77, 1 Nd 3.57, 2 Sm 3.61

Record 3
# Pr12Nd7Sm

An optimized crystal structure of Pr12Nd7Sm (GGA-PBE, the Alexandria database).

D(E_F) = 1.269 states/eV per atom
calculated formation energy = 0.263 eV per atom
ΔE to the lowest computed polymorph = 181 meV per atom
total magnetization = 0.00 μB/atom

a b c (Å): 7.0448 11.2449 11.2449
angles (deg): 64.24 77.95 102.05
Closest atoms and distances in Å follow each position.
Fractional positions:
Pr (0.7299, 0.4780, 0.0675)  2 Nd 3.22-3.39, 4 Pr 3.30-3.58
Pr (0.2026, 0.9325, 0.5455)  2 Nd 3.22-3.39, 4 Pr 3.30-3.58
Pr (0.2891, 0.2155, 0.2147)  4 Pr 3.30-3.58, 2 Nd 3.58-3.63
Pr (0.4963, 0.7853, 0.4302)  4 Pr 3.30-3.58, 2 Nd 3.58-3.63
Pr (0.7481, 0.5455, 0.5220)  2 Nd 3.22-3.39, 4 Pr 3.30-3.58
Pr (0.9264, 0.4302, 0.7845)  4 Pr 3.30-3.58, 2 Nd 3.58-3.63
Pr (0.0736, 0.5698, 0.2155)  4 Pr 3.30-3.58, 2 Nd 3.58-3.63
Pr (0.2519, 0.4545, 0.4780)  2 Nd 3.22-3.39, 4 Pr 3.30-3.58
Pr (0.5037, 0.2147, 0.5698)  4 Pr 3.30-3.58, 2 Nd 3.58-3.63
Pr (0.7109, 0.7845, 0.7853)  4 Pr 3.30-3.58, 2 Nd 3.58-3.63
Pr (0.7974, 0.0675, 0.4545)  2 Nd 3.22-3.39, 4 Pr 3.30-3.58
Pr (0.2701, 0.5220, 0.9325)  2 Nd 3.22-3.39, 4 Pr 3.30-3.58
Nd (0.7820, 0.1622, 0.1430)  3 Pr 3.22-3.58, 1 Sm 3.31, 1 Nd 3.50
Nd (0.0751, 0.8570, 0.3052)  3 Pr 3.22-3.58, 1 Sm 3.31, 1 Nd 3.50
Nd (0.3802, 0.3052, 0.8378)  3 Pr 3.22-3.58, 1 Sm 3.31, 1 Nd 3.50
Nd (0.5000, 0.0000, 0.0000)  6 Nd 3.50, 2 Sm 3.52
Nd (0.6198, 0.6948, 0.1622)  3 Pr 3.22-3.58, 1 Sm 3.31, 1 Nd 3.50
Nd (0.9249, 0.1430, 0.6948)  3 Pr 3.22-3.58, 1 Sm 3.31, 1 Nd 3.50
Nd (0.2180, 0.8378, 0.8570)  3 Pr 3.22-3.58, 1 Sm 3.31, 1 Nd 3.50
Sm (0.0000, 0.0000, 0.0000)  8 Nd 3.31-3.52

Record 4
# Pr3Nd4Sm4

An optimized crystal structure of Pr3Nd4Sm4 (GGA-PBE, the Alexandria database).

D(E_F) = 1.232 states/eV per atom
calculated formation energy = 0.161 eV per atom
ΔE to the lowest computed polymorph = 17 meV per atom
total magnetization = 0.00 μB/atom

a b c (Å): 3.6391 11.4851 11.2219
angles (deg): 120.78 99.33 90.00
Closest atoms and distances in Å follow each position.
Fractional positions:
Pr (0.8971, 0.8971, 0.7942)  6 Sm 3.62-3.69, 3 Pr 3.64-3.90, 4 Nd 3.75
Pr (0.1029, 0.1029, 0.2058)  6 Sm 3.62-3.69, 3 Pr 3.64-3.90, 4 Nd 3.75
Pr (0.0000, 0.5000, 0.0000)  2 Pr 3.64, 4 Sm 3.76
Nd (0.6687, 0.4329, 0.3373)  4 Sm 3.25-3.62, 2 Nd 3.59
Nd (0.3313, 0.0956, 0.6627)  4 Sm 3.25-3.62, 2 Nd 3.59
Nd (0.3313, 0.5671, 0.6627)  4 Sm 3.25-3.62, 2 Nd 3.59
Nd (0.6687, 0.9044, 0.3373)  4 Sm 3.25-3.62, 2 Nd 3.59
Sm (0.7725, 0.2725, 0.5450)  6 Nd 3.45-3.62, 2 Sm 3.64, 2 Pr 3.69
Sm (0.2275, 0.7275, 0.4550)  6 Nd 3.45-3.62, 2 Sm 3.64, 2 Pr 3.69
Sm (0.5000, 0.7867, 0.0000)  2 Nd 3.25, 4 Pr 3.62
Sm (0.5000, 0.2133, 0.0000)  2 Nd 3.25, 4 Pr 3.62

Record 5
# PrNd9Sm2

An optimized crystal structure of PrNd9Sm2 (GGA-PBE, the Alexandria database).

D(E_F) = 1.650 states/eV per atom
calculated formation energy = 0.013 eV per atom
total magnetization = 0.00 μB/atom

a b c (Å): 5.1933 5.1933 15.5836
angles (deg): 90.00 90.00 90.00
Closest atoms and distances in Å follow each position.
Fractional positions:
Pr (0.0000, 0.0000, 0.0000)  12 Nd 3.67-3.69
Nd (0.5000, 0.5000, 0.0000)  4 Pr 3.67, 8 Nd 3.69
Nd (0.5000, 0.5000, 0.3341)  8 Nd 3.66-3.67, 4 Sm 3.67
Nd (0.5000, 0.5000, 0.6659)  8 Nd 3.66-3.67, 4 Sm 3.67
Nd (0.5000, 0.0000, 0.1679)  2 Sm 3.67, 8 Nd 3.67-3.69, 2 Pr 3.69
Nd (0.5000, 0.0000, 0.5000)  8 Nd 3.66-3.67, 4 Sm 3.67
Nd (0.5000, 0.0000, 0.8321)  2 Sm 3.67, 8 Nd 3.67-3.69, 2 Pr 3.69
Nd (0.0000, 0.5000, 0.1679)  2 Sm 3.67, 8 Nd 3.67-3.69, 2 Pr 3.69
Nd (0.0000, 0.5000, 0.5000)  8 Nd 3.66-3.67, 4 Sm 3.67
Nd (0.0000, 0.5000, 0.8321)  2 Sm 3.67, 8 Nd 3.67-3.69, 2 Pr 3.69
Sm (0.0000, 0.0000, 0.3339)  12 Nd 3.67
Sm (0.0000, 0.0000, 0.6661)  12 Nd 3.67

Record 6
# Pr3NdSm

An optimized crystal structure of Pr3NdSm (GGA-PBE, the Alexandria database).

D(E_F) = 0.891 states/eV per atom
calculated formation energy = 0.302 eV per atom
ΔE to the lowest computed polymorph = 137 meV per atom
total magnetization = 0.00 μB/atom

a b c (Å): 8.2265 8.2265 6.3610
angles (deg): 90.00 90.00 59.95
Closest atoms and distances in Å follow each position.
Fractional positions:
Pr (0.5985, 0.1995, 0.2500)  3 Pr 3.27-3.28, 1 Nd 3.27
Pr (0.1995, 0.5985, 0.2500)  3 Pr 3.27-3.28, 1 Nd 3.27
Pr (0.8005, 0.4015, 0.7500)  3 Pr 3.27-3.28, 1 Nd 3.27
Pr (0.4015, 0.8005, 0.7500)  3 Pr 3.27-3.28, 1 Nd 3.27
Pr (0.0000, 0.0000, 0.0000)  6 Pr 3.18-3.27, 2 Nd 3.27
Pr (0.0000, 0.0000, 0.5000)  6 Pr 3.18-3.27, 2 Nd 3.27
Nd (0.2002, 0.2002, 0.2500)  4 Pr 3.27
Nd (0.7998, 0.7998, 0.7500)  4 Pr 3.27
Sm (0.6684, 0.6684, 0.2500)  2 Nd 3.69, 6 Pr 3.70-4.11
Sm (0.3316, 0.3316, 0.7500)  2 Nd 3.69, 6 Pr 3.70-4.11

Record 7
# PrNd3Sm

An optimized crystal structure of PrNd3Sm (GGA-PBE, the Alexandria database).

D(E_F) = 0.992 states/eV per atom
calculated formation energy = 0.302 eV per atom
ΔE to the lowest computed polymorph = 132 meV per atom
total magnetization = 0.00 μB/atom

a b c (Å): 8.1828 8.1828 6.3554
angles (deg): 90.00 90.00 60.05
Closest atoms and distances in Å follow each position.
Fractional positions:
Pr (0.2007, 0.2007, 0.2500)  4 Nd 3.26-3.27
Pr (0.7993, 0.7993, 0.7500)  4 Nd 3.26-3.27
Nd (0.5998, 0.2016, 0.2500)  3 Nd 3.25-3.26, 1 Pr 3.27
Nd (0.2016, 0.5998, 0.2500)  3 Nd 3.25-3.26, 1 Pr 3.27
Nd (0.7984, 0.4002, 0.7500)  3 Nd 3.25-3.26, 1 Pr 3.27
Nd (0.4002, 0.7984, 0.7500)  3 Nd 3.25-3.26, 1 Pr 3.27
Nd (0.0000, 0.0000, 0.0000)  6 Nd 3.18-3.25, 2 Pr 3.26
Nd (0.0000, 0.0000, 0.5000)  6 Nd 3.18-3.25, 2 Pr 3.26
Sm (0.6656, 0.6656, 0.2500)  6 Nd 3.69-4.09, 4 Pr 3.70-4.12
Sm (0.3344, 0.3344, 0.7500)  6 Nd 3.69-4.09, 4 Pr 3.70-4.12

Record 8
# PrNdSm2

An optimized crystal structure of PrNdSm2 (GGA-PBE, the Alexandria database).

D(E_F) = 1.487 states/eV per atom
calculated formation energy = 0.015 eV per atom
ΔE to the lowest computed polymorph = 17 meV per atom
total magnetization = 0.00 μB/atom

a b c (Å): 3.6776 3.6776 12.0902
angles (deg): 81.25 81.25 60.00
Closest atoms and distances in Å follow each position.
Fractional positions:
Pr (0.5001, 0.5001, 0.4996)  6 Sm 3.67-3.68, 6 Pr 3.68
Nd (0.6668, 0.6668, 0.9996)  6 Sm 3.63-3.65, 6 Nd 3.68
Sm (0.0826, 0.0826, 0.7523)  3 Nd 3.63, 6 Sm 3.68, 3 Pr 3.68
Sm (0.2505, 0.2505, 0.2486)  3 Nd 3.65, 3 Pr 3.67, 6 Sm 3.68

Record 9
# Pr5Nd7Sm

An optimized crystal structure of Pr5Nd7Sm (GGA-PBE, the Alexandria database).

D(E_F) = 1.705 states/eV per atom
calculated formation energy = 0.221 eV per atom
total magnetization = 0.00 μB/atom

a b c (Å): 6.9235 8.9668 8.9668
angles (deg): 78.37 67.29 67.29
Closest atoms and distances in Å follow each position.
Fractional positions:
Pr (0.4488, 0.0049, 0.5530)  2 Pr 3.15-3.22, 3 Nd 3.46-3.49
Pr (0.9933, 0.0049, 0.5530)  2 Pr 3.15-3.22, 3 Nd 3.46-3.49
Pr (0.4488, 0.5530, 0.0049)  2 Pr 3.15-3.22, 3 Nd 3.46-3.49
Pr (0.9933, 0.5530, 0.0049)  2 Pr 3.15-3.22, 3 Nd 3.46-3.49
Pr (0.7637, 0.7363, 0.7363)  4 Pr 3.22, 2 Nd 3.32
Nd (0.7267, 0.2733, 0.2733)  3 Nd 3.47-3.64, 4 Pr 3.63, 1 Sm 3.67
Nd (0.4247, 0.5753, 0.5753)  3 Nd 3.64-3.82, 6 Pr 3.88-3.97
Nd (0.9808, 0.3387, 0.6998)  5 Pr 3.32-3.69, 1 Sm 3.67
Nd (0.9808, 0.6998, 0.3387)  5 Pr 3.32-3.69, 1 Sm 3.67
Nd (0.2413, 0.2587, 0.2587)  6 Nd 3.47-3.75, 4 Pr 3.49
Nd (0.4832, 0.8484, 0.1852)  5 Nd 3.48-3.86, 5 Pr 3.49-3.88
Nd (0.4832, 0.1852, 0.8484)  5 Nd 3.48-3.86, 5 Pr 3.49-3.88
Sm (0.0313, 0.9687, 0.9687)  7 Nd 3.67-4.00, 4 Pr 3.78

Among the records above, which one has the highest D(E_F)?
Pr5Nd7Sm

Look up the total magnetization of the eighth one.
0.00 μB/atom

Look up the D(E_F) of the sixth one.
0.891 states/eV per atom

Which formula does entry 3 have?
Pr12Nd7Sm